Be2CoMo | PBE-GGA | optimized geometry

Geometry as POSCAR:
```
Be2CoMo
1.0
-1.848 1.742 -0.922
-3.029 -2.211 1.895
-2.390 0.116 5.012
Be Mo Co
2 1 1
direct
0.000 0.000 0.000 Be
0.500 0.500 0.000 Be
0.000 0.000 0.500 Mo
0.500 0.500 0.500 Co
```

Results
- E_form: 0.140 eV/atom
- Space-group type: No. 10
- E above lowest polymorph: 289 meV/atom